No. 1
Ge2PbS4: relaxed, PBE. Values from VASP.

Computed properties:
Formation energy without anion corrections: -358 meV/atom
Total DFT energy (no corrections): -4.565 eV per atom

Quantum ESPRESSO input file:
```
&SYSTEM
  ibrav = 0, nat = 28, ntyp = 3
/
ATOMIC_SPECIES
Ge 72.64 Ge.upf
Pb 207.20 Pb.upf
S 32.06 S.upf
CELL_PARAMETERS angstrom
13.808 0.000 0.000
0.000 8.560 0.000
0.000 0.000 6.247
ATOMIC_POSITIONS angstrom
Ge 0.000 0.000 0.000
Ge 0.000 4.280 0.000
Ge 1.082 2.140 2.484
Ge 5.822 6.420 5.608
Ge 6.904 0.000 3.123
Ge 6.904 4.280 3.123
Ge 7.986 2.140 0.639
Ge 12.726 6.420 3.762
Pb 3.242 6.420 2.966
Pb 3.662 2.140 6.089
Pb 10.146 6.420 0.157
Pb 10.566 2.140 3.280
S 0.929 6.420 4.795
S 0.952 2.140 4.696
S 2.185 0.385 1.607
S 2.185 3.895 1.607
S 4.719 4.665 4.730
S 4.719 8.175 4.730
S 5.952 6.420 1.573
S 5.975 2.140 1.671
S 7.833 6.420 4.575
S 7.855 2.140 4.674
S 9.089 0.385 1.517
S 9.089 3.895 1.517
S 11.623 4.665 4.640
S 11.623 8.175 4.640
S 12.856 6.420 1.550
S 12.879 2.140 1.452
```

---

No. 2
La7CdI12: relaxed, PBE. Values from VASP.

Computed properties:
Formation energy without anion corrections: -1267 meV/atom
Total DFT energy (no corrections): -3.968 eV per atom

Quantum ESPRESSO input file:
```
&SYSTEM
  ibrav = 0, nat = 20, ntyp = 3
/
ATOMIC_SPECIES
La 138.91 La.upf
Cd 112.41 Cd.upf
I 126.90 I.upf
CELL_PARAMETERS angstrom
8.305 4.795 3.606
-8.305 4.795 3.606
0.000 -9.590 3.606
ATOMIC_POSITIONS angstrom
La 0.000 0.000 0.000
La -1.811 -1.740 3.591
La -0.602 2.438 3.591
La 2.413 -0.698 3.591
La -2.413 0.698 7.227
La 0.602 -2.438 7.227
La 1.811 1.740 7.227
Cd 0.000 0.000 5.409
I -2.683 0.767 1.679
I 0.677 -2.707 1.679
I -4.448 -1.114 5.405
I -1.259 -4.409 5.413
I 2.005 1.940 1.679
I -3.188 3.295 5.413
I 3.188 -3.295 5.405
I -2.005 -1.940 9.139
I 1.259 4.409 5.405
I 4.448 1.114 5.413
I -0.677 2.707 9.139
I 2.683 -0.767 9.139
```

---

No. 3
TbPmTc2O8: relaxed, PBE. Values from VASP.

Computed properties:
Formation energy without anion corrections: -2235 meV/atom
Total DFT energy (no corrections): -8.050 eV per atom

Quantum ESPRESSO input file:
```
&SYSTEM
  ibrav = 0, nat = 12, ntyp = 4
/
ATOMIC_SPECIES
Tb 158.93 Tb.upf
Pm 145.00 Pm.upf
Tc 98.00 Tc.upf
O 16.00 O.upf
CELL_PARAMETERS angstrom
-2.628 2.628 5.687
2.628 -2.628 5.687
2.628 2.628 -5.687
ATOMIC_POSITIONS angstrom
Tb 0.000 0.000 0.000
Pm 0.000 2.628 2.843
Tc 2.628 0.000 2.843
Tc 0.000 0.000 5.687
O 3.955 -0.852 1.849
O 1.776 -1.327 3.838
O 1.736 1.307 -0.965
O 1.301 0.852 1.849
O 1.321 -0.892 6.652
O 3.481 1.327 3.838
O 0.892 1.321 4.721
O 1.307 3.521 0.965
```

---

No. 4
FeHgSb3: relaxed, PBE. Values from VASP.

Computed properties:
Energy above the most stable polymorph in this dataset: 0 meV per atom
Formation energy without anion corrections: 356 meV/atom
Total DFT energy (no corrections): -3.870 eV per atom

Quantum ESPRESSO input file:
```
&SYSTEM
  ibrav = 0, nat = 5, ntyp = 3
/
ATOMIC_SPECIES
Fe 55.84 Fe.upf
Hg 200.59 Hg.upf
Sb 121.76 Sb.upf
CELL_PARAMETERS angstrom
4.999 0.000 0.000
0.000 4.999 0.000
0.000 0.000 4.999
ATOMIC_POSITIONS angstrom
Fe 0.000 0.000 0.000
Hg 2.500 2.500 2.500
Sb 0.000 0.000 2.500
Sb 0.000 2.500 0.000
Sb 2.500 0.000 0.000
```

---

No. 5
CsKB2P: relaxed, PBE. Values from VASP.

Computed properties:
Formation energy from the elements: 2153.1 meV per atom
Total DFT energy (no corrections): -1.990 eV per atom

Quantum ESPRESSO input file:
```
&SYSTEM
  ibrav = 0, nat = 5, ntyp = 4
/
ATOMIC_SPECIES
Cs 132.91 Cs.upf
K 39.10 K.upf
B 10.81 B.upf
P 30.97 P.upf
CELL_PARAMETERS angstrom
5.642 0.000 0.000
0.000 5.642 0.000
0.000 0.000 5.958
ATOMIC_POSITIONS angstrom
Cs 0.000 0.000 0.000
K 2.821 2.821 2.979
B 0.000 2.821 2.979
B 2.821 0.000 2.979
P 2.821 2.821 0.000
```

---

No. 6
La6P2SI3: relaxed, PBE. Values from VASP.

Computed properties:
Formation energy without anion corrections: -1516 meV/atom
Total DFT energy (no corrections): -5.612 eV per atom

Quantum ESPRESSO input file:
```
&SYSTEM
  ibrav = 0, nat = 12, ntyp = 4
/
ATOMIC_SPECIES
La 138.91 La.upf
P 30.97 P.upf
S 32.06 S.upf
I 126.90 I.upf
CELL_PARAMETERS angstrom
3.705 -6.420 0.000
3.705 6.420 0.000
-2.470 0.000 7.796
ATOMIC_POSITIONS angstrom
La 1.233 2.139 1.498
La -0.002 0.000 6.294
La 1.233 -2.139 1.498
La 3.708 2.139 6.298
La 4.943 0.000 1.502
La 3.708 -2.139 6.298
P 3.705 2.136 0.000
P 3.705 -2.136 0.000
S 0.000 0.000 0.000
I 2.470 4.264 3.898
I 2.470 0.000 3.898
I 2.470 -4.264 3.898
```

---

No. 7
Pm8PrSi4: relaxed, PBE. Values from VASP.

Computed properties:
Formation energy without anion corrections: -297 meV/atom
Total DFT energy (no corrections): -5.256 eV per atom

Quantum ESPRESSO input file:
```
&SYSTEM
  ibrav = 0, nat = 13, ntyp = 3
/
ATOMIC_SPECIES
Pm 145.00 Pm.upf
Pr 140.91 Pr.upf
Si 28.09 Si.upf
CELL_PARAMETERS angstrom
-5.297 5.297 3.165
5.297 -5.297 3.165
5.297 5.297 -3.165
ATOMIC_POSITIONS angstrom
Pm 2.269 0.000 0.000
Pm 8.325 0.000 0.000
Pm 5.297 1.838 0.000
Pm 0.000 2.269 0.000
Pm 1.838 5.297 0.000
Pm 3.459 0.000 3.165
Pm 0.000 8.325 0.000
Pm 0.000 3.459 3.165
Pr 0.000 0.000 3.165
Si 2.648 2.648 -1.582
Si 2.648 -2.648 1.582
Si -2.648 2.648 1.582
Si 2.648 2.648 1.582
```

---

No. 8
TaCdFe2: relaxed, PBE. Values from VASP.

Computed properties:
Formation energy from the elements: 320.5 meV per atom
Total DFT energy (no corrections): -7.103 eV per atom

Quantum ESPRESSO input file:
```
&SYSTEM
  ibrav = 0, nat = 4, ntyp = 3
/
ATOMIC_SPECIES
Ta 180.95 Ta.upf
Cd 112.41 Cd.upf
Fe 55.84 Fe.upf
CELL_PARAMETERS angstrom
-1.886 1.886 4.191
1.886 -1.886 4.191
1.886 1.886 -4.191
ATOMIC_POSITIONS angstrom
Ta 0.000 0.000 0.000
Cd 1.886 0.000 2.096
Fe 0.000 0.000 4.191
Fe 0.000 1.886 2.096
```